Entry one
## CaPr5In4 (GGA-PBE)

Data for a geometry-optimized CaPr5In4 structure.

The space group is Pmmn (No. 59, origin choice 2) and the conventional cell measures 8.514, 9.369 and 8.824 Å, with angles of 90.00, 90.00 and 90.00 degrees. Symmetry generates all atoms from Ca at (0.250, 0.250, 0.082), Pr at (0.006, 0.050, 0.734), Pr at (0.250, 0.750, 0.646), In at (0.090, 0.250, 0.442) and In at (0.250, 0.593, 0.989).

---

Entry two
## CaPr5In4 (GGA-PBE)

Data for a geometry-optimized CaPr5In4 structure.

The space group is P4/mmm (No. 123) and the conventional cell measures 3.719, 3.719 and 22.889 Å, with angles of 90.00, 90.00 and 90.00 degrees. Symmetry generates all atoms from Ca at (0.000, 0.000, 0.000), Pr at (0.500, 0.500, 0.127), Pr at (0.500, 0.500, 0.313), Pr at (0.500, 0.500, 0.500), In at (0.000, 0.000, 0.217) and In at (0.000, 0.000, 0.406).

---

Stability, descending: entry two, entry one

---

Entry one
## CaPrIn4 (GGA-PBE)

Data for a geometry-optimized CaPrIn4 structure.

The space group is F-43m (No. 216) and the conventional cell measures 8.667, 8.667 and 8.667 Å, with angles of 90.00, 90.00 and 90.00 degrees. Symmetry generates all atoms from Ca at (0.000, 0.000, 0.000), Pr at (0.250, 0.250, 0.750) and In at (0.125, 0.125, 0.375).

---

Entry two
## CaPrIn4 (GGA-PBE)

Data for a geometry-optimized CaPrIn4 structure.

The space group is Immm (No. 71) and the conventional cell measures 5.014, 7.448 and 8.811 Å, with angles of 90.00, 90.00 and 90.00 degrees. Symmetry generates all atoms from Ca at (0.000, 0.000, 0.000), Pr at (0.000, 0.500, 0.000) and In at (0.000, 0.280, 0.333).

---

Stability, descending: entry two, entry one

---

Entry one
## CaPr3In2 (GGA-PBE)

Data for a geometry-optimized CaPr3In2 structure.

The space group is Pmc2_1 (No. 26) and the conventional cell measures 5.574, 9.725 and 6.991 Å, with angles of 90.00, 90.00 and 90.00 degrees. Symmetry generates all atoms from Ca at (0.000, 0.001, 0.000), Pr at (0.000, 0.333, 0.748), Pr at (0.500, 0.165, 0.251), Pr at (0.500, 0.499, 0.999), In at (0.000, 0.333, 0.249) and In at (0.500, 0.165, 0.750).

---

Entry two
## CaPr3In2 (GGA-PBE)

Data for a geometry-optimized CaPr3In2 structure.

The space group is C2/m (No. 12) and the conventional cell measures 17.474, 5.464 and 8.373 Å, with angles of 90.00, 95.58 and 90.00 degrees. Symmetry generates all atoms from Ca at (0.155, 0.000, 0.278), Pr at (0.060, 0.000, 0.833), Pr at (0.124, 0.500, 0.551), Pr at (0.180, 0.500, 0.992), In at (0.031, 0.500, 0.182) and In at (0.220, 0.000, 0.671).

---

Stability, descending: entry one, entry two

---

Entry one
## CaPr2In2 (GGA-PBE)

Data for a geometry-optimized CaPr2In2 structure.

The space group is P4/mbm (No. 127) and the conventional cell measures 8.679, 8.679 and 4.302 Å, with angles of 90.00, 90.00 and 90.00 degrees. Symmetry generates all atoms from Ca at (0.000, 0.000, 0.000), Pr at (0.174, 0.326, 0.500) and In at (0.125, 0.625, 0.000).

---

Entry two
## CaPr2In2 (GGA-PBE)

Data for a geometry-optimized CaPr2In2 structure.

The space group is C2/m (No. 12) and the conventional cell measures 9.594, 5.547 and 6.633 Å, with angles of 90.00, 118.65 and 90.00 degrees. Symmetry generates all atoms from Ca at (0.000, 0.000, 0.000), Pr at (0.226, 0.000, 0.677) and In at (0.085, 0.500, 0.752).

---

Stability, descending: entry two, entry one

---

Entry one
## CaPrInSn (GGA-PBE)

Data for a geometry-optimized CaPrInSn structure.

The space group is F-43m (No. 216) and the conventional cell measures 7.761, 7.761 and 7.761 Å, with angles of 90.00, 90.00 and 90.00 degrees. Symmetry generates all atoms from Ca at (0.000, 0.000, 0.000), Pr at (0.000, 0.000, 0.500), In at (0.250, 0.250, 0.750) and Sn at (0.250, 0.250, 0.250).

---

Entry two
## CaPrInSn (GGA-PBE)

Data for a geometry-optimized CaPrInSn structure.

The space group is Pmmm (No. 47) and the conventional cell measures 4.514, 5.041 and 5.090 Å, with angles of 90.00, 90.00 and 90.00 degrees. Symmetry generates all atoms from Ca at (0.000, 0.000, 0.000), Pr at (0.000, 0.500, 0.500), In at (0.500, 0.500, 0.000) and Sn at (0.500, 0.000, 0.500).

---

Stability, descending: entry two, entry one

---

Entry one
## Ca4InPt (GGA-PBE)

Data for a geometry-optimized Ca4InPt structure.

The space group is C2/c (No. 15) and the conventional cell measures 9.184, 13.964 and 6.031 Å, with angles of 90.00, 110.36 and 90.00 degrees. Symmetry generates all atoms from Ca at (0.115, 0.171, 0.063), Ca at (0.211, 0.428, 0.351), In at (0.000, 0.369, 0.750) and Pt at (0.000, 0.001, 0.250).

---

Entry two
## Ca4InPt (GGA-PBE)

Data for a geometry-optimized Ca4InPt structure.

The space group is F-43m (No. 216) and the conventional cell measures 8.839, 8.839 and 8.839 Å, with angles of 90.00, 90.00 and 90.00 degrees. Symmetry generates all atoms from Ca at (0.124, 0.124, 0.376), In at (0.000, 0.000, 0.000) and Pt at (0.250, 0.250, 0.750).

---

Stability, descending: entry one, entry two